# 1
Material: Mg2NiF
Method: DFT, GGA+U
State: relaxed

Unit cell a=6.1073 b=6.1073 c=6.4033 alpha=90.00 beta=90.00 gamma=90.00
Closest atoms and distances in Å follow each position.
Space group I-42d (No. 122)
Symmetry-distinct sites (fractional):
1 Mg 0.1956 0.2500 0.1250  2 F 2.10
2 Ni 0.0000 0.0000 0.5000  4 Mg 2.54
3 F 0.0000 0.0000 0.0000  4 Mg 2.10

Energy   -2.58 eV per atom


# 2
Material: MgNiF6
Method: DFT, GGA+U
State: relaxed

Unit cell a=4.9326 b=4.9326 c=13.1399 alpha=90.00 beta=90.00 gamma=120.00
Closest atoms and distances in Å follow each position.
Space group R-3 (No. 148, hexagonal axes)
Symmetry-distinct sites (fractional):
1 Mg 0.0000 0.0000 0.0000  6 F 2.02
2 Ni 0.0000 0.0000 0.5000  6 F 1.80
3 F 0.0226 0.3083 0.5792  1 Ni 1.80

Energy   -4.06 eV per atom


# 3
Material: Mg3NiF
Method: DFT, GGA+U
State: relaxed

Unit cell a=4.7397 b=4.7397 c=4.7397 alpha=90.00 beta=90.00 gamma=90.00
Closest atoms and distances in Å follow each position.
Space group Pm-3m (No. 221)
Symmetry-distinct sites (fractional):
1 Mg 0.0000 0.0000 0.5000  2 Ni 2.37
2 Ni 0.0000 0.0000 0.0000  6 Mg 2.37
3 F 0.5000 0.5000 0.5000  12 Mg 3.35

Energy   -1.94 eV per atom


# 4
Material: Mg2NiOF
Method: DFT, GGA+U
State: relaxed

Unit cell a=3.8781 b=3.8781 c=4.6920 alpha=90.00 beta=90.00 gamma=90.00
Closest atoms and distances in Å follow each position.
Space group P4/mmm (No. 123)
Symmetry-distinct sites (fractional):
1 Mg 0.0000 0.5000 0.0000  2 F 1.94
2 Ni 0.0000 0.0000 0.5000  4 O 2.74, 8 Mg 3.04
3 O 0.5000 0.5000 0.5000  2 F 2.35
4 F 0.5000 0.5000 0.0000  4 Mg 1.94

Energy   -3.09 eV per atom


# 5
Material: MgNiPbF6
Method: DFT, GGA+U
State: relaxed

Unit cell a=5.3480 b=5.3480 c=10.5578 alpha=90.00 beta=90.00 gamma=120.00
Closest atoms and distances in Å follow each position.
Space group P-31c (No. 163)
Symmetry-distinct sites (fractional):
1 Mg 0.3333 0.6667 0.2500  6 F 2.02
2 Ni 0.3333 0.6667 0.7500  6 F 2.03
3 Pb 0.0000 0.0000 0.0000  6 F 2.50
4 F 0.0025 0.3696 0.1455  1 Mg 2.02, 1 Ni 2.03

Energy   -4.83 eV per atom


# 6
Material: MgNi2PbF
Method: DFT, GGA+U
State: relaxed

Unit cell a=4.8171 b=4.8171 c=4.5514 alpha=90.00 beta=90.00 gamma=90.00
Closest atoms and distances in Å follow each position.
Space group P4/mmm (No. 123)
Symmetry-distinct sites (fractional):
1 Mg 0.0000 0.0000 0.0000  8 Ni 3.31, 4 F 3.41
2 Ni 0.0000 0.5000 0.5000  2 Pb 2.41
3 Pb 0.5000 0.5000 0.5000  2 F 2.28, 4 Ni 2.41
4 F 0.5000 0.5000 0.0000  2 Pb 2.28

Energy   -1.87 eV per atom


# 7
Material: MgNiPdF6
Method: DFT, GGA+U
State: relaxed

Unit cell a=4.8335 b=4.8335 c=9.6214 alpha=90.00 beta=90.00 gamma=90.00
Closest atoms and distances in Å follow each position.
Space group P4_2nm (No. 102)
Symmetry-distinct sites (fractional):
1 Mg 0.0000 0.0000 0.0000  6 F 2.02-2.03
2 Ni 0.0000 0.0000 0.3345  6 F 2.04
3 Pd 0.0000 0.0000 0.6675  6 F 2.18-2.21
4 F 0.1817 0.1817 0.1659  1 Mg 2.02, 1 Ni 2.04, 1 Pd 2.18
5 F 0.2025 0.2025 0.8468  1 Mg 2.02, 1 Ni 2.04, 1 Pd 2.21
6 F 0.2040 0.2040 0.4893  1 Mg 2.03, 1 Ni 2.04, 1 Pd 2.21

Energy   -4.54 eV per atom


# 8
Material: RbMg2NiF
Method: DFT, GGA+U
State: relaxed

Unit cell a=4.3641 b=4.3641 c=6.1404 alpha=90.00 beta=90.00 gamma=90.00
Closest atoms and distances in Å follow each position.
Space group P4/mmm (No. 123)
Symmetry-distinct sites (fractional):
1 Rb 0.0000 0.0000 0.0000  4 Ni 3.09
2 Mg 0.0000 0.5000 0.5000  2 F 2.18
3 Ni 0.5000 0.5000 0.0000  2 F 3.07, 4 Rb 3.09
4 F 0.5000 0.5000 0.5000  4 Mg 2.18

Energy   -1.66 eV per atom


What is the formula in the first record? Mg2NiF


Please write out number 2 again, unchanged.
Material: MgNiF6
Method: DFT, GGA+U
State: relaxed

Unit cell a=4.9326 b=4.9326 c=13.1399 alpha=90.00 beta=90.00 gamma=120.00
Closest atoms and distances in Å follow each position.
Space group R-3 (No. 148, hexagonal axes)
Symmetry-distinct sites (fractional):
1 Mg 0.0000 0.0000 0.0000  6 F 2.02
2 Ni 0.0000 0.0000 0.5000  6 F 1.80
3 F 0.0226 0.3083 0.5792  1 Ni 1.80

Energy   -4.06 eV per atom


Among the records above, which one has the lowest energy? MgNiPbF6